(1)
First-principles (PBE-GGA) data for a relaxed LiPrScHg crystal, as listed in Alexandria.

Calculated values
The calculated volume comes out at 24.85 Å³/atom. As for the energy: -3.5029 eV/atom.

Cell lengths 7.353, 7.353, 7.353 Å; angles 90.00, 90.00, 90.00 degrees
Space group F-43m (No. 216)
Unique sites:
Li1 0.000 0.000 0.000 [4 per cell]
Pr1 0.250 0.250 0.750 [4 per cell]
Sc1 0.250 0.250 0.250 [4 per cell]
Hg1 0.000 0.000 0.500 [4 per cell]

***

(2)
First-principles (PBE-GGA) data for a relaxed LiPrSc2Hg4 crystal, as listed in Alexandria.

Calculated values
The calculated volume comes out at 23.22 Å³/atom. As for the energy: -2.9646 eV/atom.

Cell lengths 4.9377, 4.9377, 26.3906 Å; angles 90.00, 90.00, 120.00 degrees
Space group R-3m (No. 166, hexagonal axes)
Unique sites:
Li1 0.0000 0.0000 0.0000 [3 per cell]
Pr1 0.0000 0.0000 0.5000 [3 per cell]
Sc1 0.0000 0.0000 0.2589 [6 per cell]
Hg1 0.0000 0.0000 0.1096 [6 per cell]
Hg2 0.0000 0.0000 0.3711 [6 per cell]

***

(3)
First-principles (PBE-GGA) data for a relaxed LiPrSmHg crystal, as listed in Alexandria.

Calculated values
The calculated volume comes out at 27.54 Å³/atom. As for the energy: -3.1333 eV/atom.

Cell lengths 7.609, 7.609, 7.609 Å; angles 90.00, 90.00, 90.00 degrees
Space group F-43m (No. 216)
Unique sites:
Li1 0.000 0.000 0.000 [4 per cell]
Pr1 0.250 0.250 0.750 [4 per cell]
Sm1 0.250 0.250 0.250 [4 per cell]
Hg1 0.000 0.000 0.500 [4 per cell]

***

(4)
First-principles (PBE-GGA) data for a relaxed LiPr2SmHg4 crystal, as listed in Alexandria.

Calculated values
The calculated volume comes out at 26.67 Å³/atom. As for the energy: -2.6215 eV/atom.

Cell lengths 5.2850, 5.2850, 26.4656 Å; angles 90.00, 90.00, 120.00 degrees
Space group R-3m (No. 166, hexagonal axes)
Unique sites:
Li1 0.0000 0.0000 0.0000 [3 per cell]
Pr1 0.0000 0.0000 0.2553 [6 per cell]
Sm1 0.0000 0.0000 0.5000 [3 per cell]
Hg1 0.0000 0.0000 0.1245 [6 per cell]
Hg2 0.0000 0.0000 0.3743 [6 per cell]

***

(5)
First-principles (PBE-GGA) data for a relaxed LiPrSm2Hg4 crystal, as listed in Alexandria.

Calculated values
The calculated volume comes out at 26.18 Å³/atom. As for the energy: -2.6101 eV/atom.

Cell lengths 5.2173, 5.2173, 26.6490 Å; angles 90.00, 90.00, 120.00 degrees
Space group R-3m (No. 166, hexagonal axes)
Unique sites:
Li1 0.0000 0.0000 0.0000 [3 per cell]
Pr1 0.0000 0.0000 0.5000 [3 per cell]
Sm1 0.0000 0.0000 0.2567 [6 per cell]
Hg1 0.0000 0.0000 0.1187 [6 per cell]
Hg2 0.0000 0.0000 0.3730 [6 per cell]

***

(6)
First-principles (PBE-GGA) data for a relaxed Li2PrSmHg4 crystal, as listed in Alexandria.

Calculated values
The calculated volume comes out at 23.96 Å³/atom. As for the energy: -2.2682 eV/atom.

Cell lengths 5.1228, 5.1228, 25.2974 Å; angles 90.00, 90.00, 120.00 degrees
Space group R-3m (No. 166, hexagonal axes)
Unique sites:
Li1 0.0000 0.0000 0.2488 [6 per cell]
Pr1 0.0000 0.0000 0.0000 [3 per cell]
Sm1 0.0000 0.0000 0.5000 [3 per cell]
Hg1 0.0000 0.0000 0.1259 [6 per cell]
Hg2 0.0000 0.0000 0.3772 [6 per cell]